Sb2TePd2 | PBE-GGA | relaxed

## Properties
Polymorph energy (0 for the lowest one): 3.3 kJ/mol of atoms
Uncorrected formation energy: -12.99 kJ/mol of atoms
Energy: -44.89 eV per cell
DOS at the Fermi energy: 7.460 states/eV/cell

a b c (Å): 3.9073 3.9073 15.5998
angles (deg): 90.00 90.00 90.00
Space group I4/mmm (No. 139)
Inequivalent atoms, fractional coordinates:
Sb1 0.0000 0.0000 0.1279 x4
Te1 0.0000 0.0000 0.5000 x2
Pd1 0.0000 0.5000 0.2500 x4